1.
{"formula": "Cd2HPd8", "functional": "PBE-GGA", "state": "relaxed", "density_g_cm3": 10.63, "total_energy_ev_per_atom": -4.38, "spacegroup": "Cm, No. 8", "lattice_angstrom": [[4.653, -0.258, -0.995], [-1.216, 5.170, -1.567], [-0.318, -0.310, 7.274]], "species": ["Cd", "Cd", "H", "Pd", "Pd", "Pd", "Pd", "Pd", "Pd", "Pd", "Pd"], "frac_coords": [[0.262, 0.335, 0.611], [0.651, 0.724, 0.389], [0.190, 0.138, 0.000], [0.872, 0.111, 0.787], [0.085, 0.324, 0.213], [0.258, 0.833, 0.608], [0.523, 0.853, 0.000], [0.650, 0.225, 0.392], [0.884, 0.615, 0.792], [0.091, 0.823, 0.208], [0.529, 0.352, 0.000]]}


2.
{"formula": "AcTbMgRu", "functional": "PBE-GGA", "state": "relaxed", "formation_energy_ev_per_atom": -0.0024, "density_g_cm3": 8.24, "total_energy_ev_per_atom": -4.90, "spacegroup": "F-43m, No. 216", "lattice_angstrom": [[5.261, 0.000, 0.000], [2.631, 4.557, 0.000], [2.631, 1.519, 4.296]], "species": ["Ru", "Ac", "Tb", "Mg"], "frac_coords": [[0.750, 0.750, 0.750], [0.000, 0.000, 0.000], [0.500, 0.500, 0.500], [0.250, 0.250, 0.250]]}


3.
{"formula": "ReB2Mo2", "functional": "PBE-GGA", "state": "relaxed", "de_polymorph_ev_per_fu": 0.01, "formation_energy_ev_per_atom": -0.3257, "density_g_cm3": 11.64, "total_energy_ev_per_atom": -9.82, "spacegroup": "P4/mbm, No. 127", "lattice_angstrom": [[6.027, 0.000, 0.000], [0.000, 6.027, 0.000], [0.000, 0.000, 3.139]], "species": ["Re", "Re", "Mo", "Mo", "Mo", "Mo", "B", "B", "B", "B"], "frac_coords": [[0.000, 0.000, 0.000], [0.500, 0.500, 0.000], [0.169, 0.669, 0.500], [0.669, 0.831, 0.500], [0.831, 0.331, 0.500], [0.331, 0.169, 0.500], [0.385, 0.885, 0.000], [0.885, 0.615, 0.000], [0.615, 0.115, 0.000], [0.115, 0.385, 0.000]]}


4.
{"formula": "CePm2Er7", "functional": "PBE-GGA", "state": "relaxed", "formation_energy_ev_per_atom": 0.1833, "density_g_cm3": 8.27, "total_energy_ev_per_atom": -4.55, "spacegroup": "Cmmm, No. 65", "lattice_angstrom": [[-3.382, 0.711, -0.122], [-1.845, -10.503, -10.140], [0.612, 5.257, 13.731]], "species": ["Ce", "Pm", "Pm", "Er", "Er", "Er", "Er", "Er", "Er", "Er"], "frac_coords": [[0.000, 0.000, 0.000], [0.500, 0.707, 0.293], [0.500, 0.293, 0.707], [0.000, 0.815, 0.185], [0.000, 0.185, 0.815], [0.500, 0.148, 0.344], [0.500, 0.852, 0.656], [0.500, 0.344, 0.148], [0.500, 0.656, 0.852], [0.500, 0.500, 0.500]]}


5.
{"formula": "NdSm2Te2", "functional": "PBE-GGA", "state": "relaxed", "density_g_cm3": 7.22, "total_energy_ev_per_atom": -4.94, "spacegroup": "C2/m, No. 12", "raw_formation_energy_ev_per_atom": -0.840, "lattice_angstrom": [[4.751, -0.174, 0.081], [1.092, 4.627, 0.081], [1.363, 1.039, 7.296]], "species": ["Nd", "Sm", "Sm", "Te", "Te"], "frac_coords": [[0.000, 0.000, 0.000], [0.248, 0.752, 0.500], [0.752, 0.248, 0.500], [0.326, 0.326, 0.207], [0.674, 0.674, 0.793]]}


6.
{"formula": "Ac2AlAuSe5", "functional": "PBE-GGA", "state": "relaxed", "density_g_cm3": 7.32, "total_energy_ev_per_atom": -4.97, "spacegroup": "Cmc2_1, No. 36", "raw_formation_energy_ev_per_atom": -1.345, "lattice_angstrom": [[-0.551, 1.710, 3.954], [8.436, -4.449, 0.715], [5.595, 10.036, -3.561]], "species": ["Ac", "Ac", "Ac", "Ac", "Al", "Al", "Au", "Au", "Se", "Se", "Se", "Se", "Se", "Se", "Se", "Se", "Se", "Se"], "frac_coords": [[0.882, 0.764, 0.797], [0.116, 0.231, 0.681], [0.118, 0.236, 0.297], [0.884, 0.769, 0.181], [0.591, 0.182, 0.965], [0.409, 0.818, 0.465], [0.751, 0.501, 0.591], [0.249, 0.499, 0.091], [0.368, 0.737, 0.990], [0.692, 0.385, 0.835], [0.509, 0.017, 0.789], [0.320, 0.640, 0.633], [0.960, 0.919, 0.543], [0.632, 0.263, 0.490], [0.308, 0.615, 0.335], [0.491, 0.983, 0.289], [0.680, 0.360, 0.133], [0.040, 0.081, 0.043]]}